(1)
ErNpPt4: optimized geometry, PBE.

a b c (Å): 5.4295 5.4295 5.4295
angles (deg): 60.00 60.00 60.00
Last column: nearest neighbours and their distance in Å.
Element x y z (fractional)
1 Er 0.0000 0.0000 0.0000  12 Pt 3.18, 4 Np 3.32
2 Np 0.2500 0.2500 0.2500  12 Pt 3.18, 4 Er 3.32
3 Pt 0.1249 0.6250 0.6250  6 Pt 2.71-2.72
4 Pt 0.6250 0.1249 0.6250  6 Pt 2.71-2.72
5 Pt 0.6250 0.6250 0.1249  6 Pt 2.71-2.72
6 Pt 0.6250 0.6250 0.6250  6 Pt 2.71-2.72

ΔH_f (0 K) ... -0.845 eV per atom
Density of states at the Fermi level ... 12.64 states/eV/cell
Total magnetic moment ... 4.103 μB per cell

(2)
AlInFe2: optimized geometry, PBE.

a b c (Å): 2.8295 4.3253 4.8672
angles (deg): 90.00 90.00 90.00
Last column: nearest neighbours and their distance in Å.
Element x y z (fractional)
1 Al 0.0000 0.0000 0.0000  6 Fe 2.52-2.67, 2 In 2.83
2 In 0.0000 0.5000 0.3736  8 Fe 2.76-2.87, 2 Al 2.83, 2 In 2.83
3 Fe 0.5000 0.0000 0.5708  2 Al 2.52, 2 Fe 2.58, 4 In 2.76
4 Fe 0.5000 0.5000 0.8609  4 Fe 2.58-2.83, 4 Al 2.67, 4 In 2.76-2.87

ΔH_f (0 K) ... 0.085 eV per atom
Density of states at the Fermi level ... 3.21 states/eV/cell
Total magnetic moment ... 4.458 μB per cell

(3)
MgAlAs2Br: optimized geometry, PBE.

a b c (Å): 4.8771 4.8771 5.2183
angles (deg): 90.00 90.00 90.00
Last column: nearest neighbours and their distance in Å.
Element x y z (fractional)
1 Mg 0.0000 0.0000 0.0000  4 Br 3.45, 8 As 3.57
2 Al 0.5000 0.5000 0.5000  4 As 2.44, 2 Br 2.61
3 As 0.0000 0.5000 0.5000  2 Al 2.44
4 As 0.5000 0.0000 0.5000  2 Al 2.44
5 Br 0.5000 0.5000 0.0000  2 Al 2.61

Density of states at the Fermi level ... 4.30 states/eV/cell
Relative energy among the computed polymorphs ... 0.0 kJ per mole of atoms
Formation energy from raw total energies ... 15 kJ/mol of atoms
Total magnetic moment ... 0.000 μB per cell